Rb2AgPbF6 (PBE, optimized geometry); crystal system = monoclinic; energy relative to the lowest polymorph listed for this composition = 0 meV/atom
1.0
-3.4148 4.8898 2.0857
-4.8623 -3.8646 1.0996
6.4265 -6.3171 6.2153
Ag F Pb Rb
2 12 2 4
Direct
0.0000 0.5000 0.0000 Ag
0.0000 0.0000 0.5000 Ag
0.8211 0.7876 0.0317 F
0.7438 0.2898 0.0324 F
0.3118 0.4867 0.2490 F
0.6882 0.9867 0.2510 F
0.2562 0.7898 0.4676 F
0.1789 0.2876 0.4683 F
0.8211 0.7124 0.5317 F
0.7438 0.2102 0.5324 F
0.3118 0.0133 0.7490 F
0.6882 0.5133 0.7510 F
0.2562 0.7102 0.9676 F
0.1789 0.2124 0.9683 F
0.5000 0.0000 0.0000 Pb
0.5000 0.5000 0.5000 Pb
0.2461 0.0265 0.2495 Rb
0.7539 0.5265 0.2505 Rb
0.2461 0.4735 0.7495 Rb
0.7539 0.9735 0.7505 Rb

***

Rb2AgPbF6 (PBE, optimized geometry); crystal system = cubic; energy relative to the lowest polymorph listed for this composition = 0 meV/atom
1.0
-1.0739 -2.2819 5.8599
-4.6634 4.2767 0.8131
-0.1143 -3.9290 -5.0247
Ag F Pb Rb
1 6 1 2
Direct
0.0000 0.0000 0.0000 Ag
0.7512 0.2488 0.0000 F
0.2488 0.2488 0.0000 F
0.7512 0.7512 0.0000 F
0.2488 0.7512 0.0000 F
0.2488 0.2488 0.4976 F
0.7512 0.7512 0.5024 F
0.5000 0.5000 0.0000 Pb
0.7500 0.2500 0.5000 Rb
0.2500 0.7500 0.5000 Rb

***

Rb2AgPbF6 (PBE, optimized geometry); crystal system = trigonal; energy relative to the lowest polymorph listed for this composition = 63 meV/atom
1.0
3.1118 1.7966 10.6645
-3.1118 1.7966 10.6645
0.0000 -3.5932 10.6645
Ag F Pb Rb
2 12 2 4
Direct
0.4119 0.4119 0.4119 Ag
0.5881 0.5881 0.5881 Ag
0.6353 0.6353 0.0991 F
0.7141 0.2017 0.2017 F
0.2017 0.7141 0.2017 F
0.7983 0.7983 0.2859 F
0.3647 0.9009 0.3647 F
0.9009 0.3647 0.3647 F
0.0991 0.6353 0.6353 F
0.6353 0.0991 0.6353 F
0.2017 0.2017 0.7141 F
0.7983 0.2859 0.7983 F
0.2859 0.7983 0.7983 F
0.3647 0.3647 0.9009 F
0.0000 0.0000 0.0000 Pb
0.5000 0.5000 0.5000 Pb
0.1341 0.1341 0.1341 Rb
0.2785 0.2785 0.2785 Rb
0.7215 0.7215 0.7215 Rb
0.8659 0.8659 0.8659 Rb

***

Rb2AgPbF6 (PBE, optimized geometry); crystal system = trigonal; energy relative to the lowest polymorph listed for this composition = 27 meV/atom
1.0
-2.6969 4.4354 3.5849
-1.5508 -1.2636 5.9830
3.2185 2.6415 4.7393
Ag F Pb Rb
1 6 1 2
Direct
0.5000 0.5000 0.5000 Ag
0.2538 0.7480 0.2515 F
0.7485 0.7462 0.2520 F
0.7480 0.2515 0.2538 F
0.2520 0.7485 0.7462 F
0.2515 0.2538 0.7480 F
0.7462 0.2520 0.7485 F
0.0000 0.0000 0.0000 Pb
0.2499 0.2499 0.2499 Rb
0.7501 0.7501 0.7501 Rb

***

Rb2AgPbF6 (PBE, optimized geometry); crystal system = triclinic; energy relative to the lowest polymorph listed for this composition = 25 meV/atom
1.0
6.2987 0.0000 0.0000
-0.0011 6.3040 0.0000
-0.0008 -0.0038 8.9213
Ag F Pb Rb
2 12 2 4
Direct
0.4501 0.5503 0.0000 Ag
0.9499 0.0497 0.5000 Ag
0.1992 0.7948 0.0006 F
0.2060 0.2989 0.0010 F
0.4513 0.5503 0.2479 F
0.9485 0.0501 0.2521 F
0.1908 0.3042 0.4989 F
0.2040 0.8084 0.4997 F
0.6956 0.2908 0.5003 F
0.7092 0.7951 0.5011 F
0.9514 0.0505 0.7479 F
0.4487 0.5490 0.7521 F
0.6940 0.8017 0.9990 F
0.7013 0.3061 0.9994 F
0.9501 0.0503 0.0000 Pb
0.4499 0.5497 0.5000 Pb
0.9500 0.5502 0.2499 Rb
0.4499 0.0500 0.2500 Rb
0.4500 0.0499 0.7500 Rb
0.9501 0.5500 0.7501 Rb

***

Tl2AgPbF6 (PBE, optimized geometry); crystal system = cubic; final energy = -39.64 eV/cell
1.0
0.0000 4.4453 4.4453
4.4453 0.0000 4.4453
4.4453 4.4453 0.0000
Ag F Pb Tl
1 6 1 2
Direct
0.0000 0.0000 0.0000 Ag
0.7533 0.2467 0.2467 F
0.2467 0.7533 0.2467 F
0.7533 0.7533 0.2467 F
0.2467 0.2467 0.7533 F
0.7533 0.2467 0.7533 F
0.2467 0.7533 0.7533 F
0.5000 0.5000 0.5000 Pb
0.2500 0.2500 0.2500 Tl
0.7500 0.7500 0.7500 Tl

***

AgPdF6 (PBE, optimized geometry); crystal system = trigonal; energy relative to the lowest polymorph listed for this composition = 0 meV/atom
1.0
2.4089 1.3908 4.5013
-2.4089 1.3908 4.5013
0.0000 -2.7816 4.5013
Ag F Pd
1 6 1
Direct
0.5000 0.5000 0.5000 Ag
0.7793 0.4331 0.0279 F
0.5669 0.9721 0.2207 F
0.0279 0.7793 0.4331 F
0.9721 0.2207 0.5669 F
0.4331 0.0279 0.7793 F
0.2207 0.5669 0.9721 F
0.0000 0.0000 0.0000 Pd

***

AgPdF6 (PBE, optimized geometry); crystal system = cubic; energy relative to the lowest polymorph listed for this composition = 64 meV/atom
1.0
0.0000 3.7208 3.7208
3.7208 0.0000 3.7208
3.7208 3.7208 0.0000
Ag F Pd
1 6 1
Direct
0.0000 0.0000 0.0000 Ag
0.9944 0.5056 0.5056 F
0.5056 0.9944 0.5056 F
0.9944 0.9944 0.5056 F
0.5056 0.5056 0.9944 F
0.9944 0.5056 0.9944 F
0.5056 0.9944 0.9944 F
0.2500 0.2500 0.2500 Pd